1.
A plane-wave DFT calculation with PBE-GGA was carried out for crystalline TbPt3O6 at its relaxed geometry.

Properties
Symmetry: Cmmm
Density: 10.932 g/cm³
E_form (uncorrected): -12.06 eV per formula unit
VASP energy: -6.456 eV per atom

```
TbPt3O6
1.0
-0.1062 0.1361 -3.5240
-5.5793 -2.7090 0.0635
-0.6426 6.1637 0.2574
O Tb Pt
6 1 3
Direct
0.0000 0.3417 0.0793
0.0000 0.6583 0.9207
0.5000 0.6502 0.3498
0.5000 0.3498 0.6502
0.0000 0.0793 0.3417
0.0000 0.9207 0.6583
0.0000 0.5000 0.5000
0.5000 0.5000 0.0000
0.0000 0.0000 0.0000
0.5000 0.0000 0.5000
```


2.
A plane-wave DFT calculation with PBE-GGA was carried out for crystalline MgCdIn4 at its relaxed geometry.

Properties
Symmetry: P4/mmm
E above lowest polymorph: 52 meV/atom
Density: 5.907 g/cm³
ΔE_f: 55 meV per atom
VASP energy: -2.189 eV per atom

```
MgCdIn4
1.0
-1.0071 0.5005 4.6191
1.3500 -4.4912 0.7807
6.9312 2.3037 1.2626
In Mg Cd
4 1 1
Direct
0.5012 0.9970 0.7489
0.5012 0.9969 0.2474
0.0014 0.4975 0.2475
0.0015 0.4976 0.7489
0.5014 0.4970 0.9980
0.0011 0.9977 0.4982
```


3.
A plane-wave DFT calculation with PBE-GGA was carried out for crystalline Rb2SiHg2 at its relaxed geometry.

Properties
Symmetry: I4/mmm
E above lowest polymorph: 166 meV/atom
Density: 5.124 g/cm³
E_form (uncorrected): 1.16 eV per formula unit
VASP energy: -1.360 eV per atom

```
Rb2SiHg2
1.0
-3.6621 -1.8537 1.1648
1.9747 -1.8169 3.3171
-3.2106 6.6449 8.2949
Rb Hg Si
2 2 1
Direct
0.4030 0.4030 0.1941
0.5970 0.5970 0.8059
0.7500 0.2500 0.5000
0.2500 0.7500 0.5000
0.0000 0.0000 0.0000
```


4.
A plane-wave DFT calculation with PBE-GGA was carried out for crystalline K2CuTc at its relaxed geometry.

Properties
Symmetry: P2/m
E above lowest polymorph: 414 meV/atom
Density: 4.585 g/cm³
ΔE_f: 1229 meV per atom
VASP energy: -2.936 eV per atom

```
K2CuTc
1.0
5.6479 0.0000 0.0000
0.0000 2.7089 -0.3720
0.0000 1.2921 5.4976
Tc K Cu
1 2 1
Direct
0.5000 0.2500 0.2500
0.0000 0.9361 0.9966
0.0000 0.5639 0.5034
0.5000 0.7500 0.7500
```


5.
A plane-wave DFT calculation with PBE-GGA was carried out for crystalline Dy6C2Se3 at its relaxed geometry.

Properties
Symmetry: R-3m
Density: 8.252 g/cm³
E_form (uncorrected): -12.07 eV per formula unit
VASP energy: -6.235 eV per atom

```
Dy6C2Se3
1.0
3.7556 0.0000 0.3723
1.8593 3.2630 0.3723
-0.1143 -0.0664 20.2797
C Se Dy
2 3 6
Direct
0.5509 0.5509 0.3474
0.4491 0.4491 0.6526
0.2726 0.2726 0.1822
0.0000 0.0000 0.0000
0.7274 0.7274 0.8178
0.0931 0.0931 0.7206
0.3638 0.3638 0.9086
0.6362 0.6362 0.0914
0.8031 0.8031 0.5908
0.1969 0.1969 0.4092
0.9069 0.9069 0.2794
```


6.
A plane-wave DFT calculation with PBE-GGA was carried out for crystalline ErTmCo10 at its relaxed geometry.

Properties
Symmetry: Pmmm
Density: 9.408 g/cm³
ΔE_f: -127 meV per atom
VASP energy: -6.801 eV per atom

```
ErTmCo10
1.0
3.9487 0.0000 0.0000
0.0000 4.8860 0.0000
0.0000 0.0000 8.4672
Co Tm Er
10 1 1
Direct
0.0000 0.0000 0.3335
0.5000 0.2503 0.7495
0.0000 0.0000 0.6665
0.5000 0.5000 0.0000
0.5000 0.0000 0.5000
0.5000 0.7497 0.2505
0.5000 0.2503 0.2505
0.5000 0.7497 0.7495
0.0000 0.5000 0.8320
0.0000 0.5000 0.1680
0.0000 0.5000 0.5000
0.0000 0.0000 0.0000
```


7.
A plane-wave DFT calculation with PBE-GGA was carried out for crystalline Bi2AsS at its relaxed geometry.

Properties
Symmetry: R3m
E above lowest polymorph: 39 meV/atom
Density: 8.071 g/cm³
E_form (uncorrected): -0.08 eV per formula unit
VASP energy: -4.155 eV per atom

```
Bi2AsS
1.0
3.9932 0.0000 0.0000
1.9966 3.4582 0.0000
1.9966 1.1527 7.8212
As Bi S
1 2 1
Direct
0.6664 0.6664 0.0007
0.0848 0.0848 0.7455
0.2568 0.2568 0.2296
0.4919 0.4919 0.5243
```


8.
A plane-wave DFT calculation with PBE-GGA was carried out for crystalline TiGa2Ge4 at its relaxed geometry.

Properties
Symmetry: I4/mmm
Density: 4.921 g/cm³
ΔE_f: 316 meV per atom
VASP energy: -4.315 eV per atom

```
TiGa2Ge4
1.0
-0.9466 -4.1450 2.5636
2.8832 -2.5818 -3.1099
6.1456 -2.1832 3.5469
Ge Ga Ti
4 2 1
Direct
0.8085 0.8085 0.3831
0.5000 0.0000 0.0000
0.0000 0.5000 0.0000
0.1915 0.1915 0.6169
0.3868 0.3868 0.2264
0.6132 0.6132 0.7736
0.0000 0.0000 0.0000
```


Please write out number 2 again, unchanged.
A plane-wave DFT calculation with PBE-GGA was carried out for crystalline MgCdIn4 at its relaxed geometry.

Properties
Symmetry: P4/mmm
E above lowest polymorph: 52 meV/atom
Density: 5.907 g/cm³
ΔE_f: 55 meV per atom
VASP energy: -2.189 eV per atom

```
MgCdIn4
1.0
-1.0071 0.5005 4.6191
1.3500 -4.4912 0.7807
6.9312 2.3037 1.2626
In Mg Cd
4 1 1
Direct
0.5012 0.9970 0.7489
0.5012 0.9969 0.2474
0.0014 0.4975 0.2475
0.0015 0.4976 0.7489
0.5014 0.4970 0.9980
0.0011 0.9977 0.4982
```


> The lowest VASP energy belongs to which entry?

ErTmCo10